Entry 1:
A relaxed SbRuW3 crystal. Source: Alexandria via LeMat-Bulk, functional PBE.

abc: 4.7463 4.7463 4.7463
angles: 90.00 90.00 90.00
With the nearest neighbours (Å) after each atom.
Space group Pm-3m (No. 221)
Unique sites:
Sb: 0.0000 0.0000 0.0000  12 W 3.36
Ru: 0.5000 0.5000 0.5000  6 W 2.37
W: 0.0000 0.5000 0.5000  2 Ru 2.37

- energy relative to the elements, uncorrected (eV/atom) = 1.808
- V (Å³/atom) = 21.4
- energy relative to the lowest polymorph listed for this composition (meV/atom) = 0

Entry 2:
A relaxed La2TmAs3 crystal. Source: Alexandria via LeMat-Bulk, functional PBE.

abc: 4.2907 4.2907 18.1087
angles: 90.00 90.00 90.00
With the nearest neighbours (Å) after each atom.
Space group I4/mmm (No. 139)
Unique sites:
La: 0.0000 0.0000 0.1651  6 As 2.99-3.14
Tm: 0.0000 0.0000 0.5000  6 As 2.93-3.03
As: 0.0000 0.0000 0.0000  2 La 2.99, 4 Tm 3.03
As: 0.0000 0.0000 0.3384  1 Tm 2.93, 5 La 3.03-3.14

- V (Å³/atom) = 27.8
- formation enthalpy at 0 K (eV/atom) = -1.508

| no. | E_tot (eV/f.u.) |
| --- | --- |
| 1 | -43.220 |
| 2 | -37.322 |